Computed, not measured: a relaxed structure of Tl2GaBi at the PBE level of DFT.

Cell and atoms, written as POSCAR:
```
Tl2GaBi
1.0
0.000 3.886 3.886
3.886 0.000 3.886
3.886 3.886 0.000
Tl Ga Bi
2 1 1
Direct
0.250 0.250 0.250 Tl
0.750 0.750 0.750 Tl
0.000 0.000 0.000 Ga
0.500 0.500 0.500 Bi
```

Summary:
* ΔE to the lowest computed polymorph: 0.073 eV per atom
* energy of formation from the pure elements: 0.32 eV per formula unit
* SG: Fm-3m
* crystal system: cubic



Computed, not measured: a relaxed structure of NaSnBr2F at the PBE level of DFT.

Cell and atoms, written as POSCAR:
```
NaSnBr2F
1.0
5.393 0.000 0.000
0.000 5.393 0.000
0.000 0.000 4.161
Na Sn Br F
1 1 2 1
Direct
0.000 0.000 0.000 Na
0.500 0.500 0.500 Sn
0.000 0.500 0.000 Br
0.500 0.000 0.000 Br
0.000 0.000 0.500 F
```

Summary:
* ΔE to the lowest computed polymorph: 0.255 eV per atom
* SG: P4/mmm
* crystal system: tetragonal



Computed, not measured: a relaxed structure of La3Nd at the PBE level of DFT.

Cell and atoms, written as POSCAR:
```
La3Nd
1.0
-2.627 2.627 5.265
2.627 -2.627 5.265
2.627 2.627 -5.265
La Nd
3 1
Direct
0.000 0.000 0.000 La
0.250 0.750 0.500 La
0.750 0.250 0.500 La
0.500 0.500 0.000 Nd
```

Summary:
* energy of formation from the pure elements: 0.05 eV per formula unit
* SG: I4/mmm
* crystal system: tetragonal